Ta2Si PBE-GGA relaxed; ΔE_f (raw) = -8.0 kcal/mol of atoms; electronic total energy = -10.05 eV per atom
1.0
-1.7533 2.6765 5.3723
1.7533 -2.6765 5.3723
1.7533 2.6765 -5.3723
Ta Si
4 2
Direct
0.1979 0.1979 0.0000
0.2411 0.5000 0.7411
0.7589 0.5000 0.2589
0.8021 0.8021 0.0000
0.3708 0.8708 0.5000
0.6292 0.1292 0.5000

---

Ta4Si PBE-GGA relaxed; ΔE_f (raw) = -1.2 kcal/mol of atoms; relative energy among the computed polymorphs = 0.057 eV/atom; electronic total energy = -10.62 eV per atom
1.0
-2.7904 2.7904 5.7704
2.7904 -2.7904 5.7704
2.7904 2.7904 -5.7704
Ta Si
8 2
Direct
0.1471 0.8072 0.8523
0.2052 0.3529 0.1601
0.3072 0.9549 0.6601
0.4549 0.2948 0.6477
0.5451 0.7052 0.3523
0.6928 0.0451 0.3399
0.7948 0.6471 0.8399
0.8529 0.1928 0.1477
0.1250 0.3750 0.7500
0.8750 0.6250 0.2500

---

Ta2Si PBE-GGA relaxed; ΔE_f (raw) = 1.5 kcal/mol of atoms; electronic total energy = -9.64 eV per atom
1.0
0.0000 3.0208 3.0208
3.0208 0.0000 3.0208
3.0208 3.0208 0.0000
Ta Si
2 1
Direct
0.2500 0.2500 0.2500
0.7500 0.7500 0.7500
0.0000 0.0000 0.0000

---

Ta3Si PBE-GGA relaxed; ΔE_f (raw) = -3.8 kcal/mol of atoms; electronic total energy = -10.41 eV per atom
1.0
4.7043 -1.6982 0.0000
4.7043 1.6982 0.0000
-1.6035 0.0000 4.2747
Ta Si
3 1
Direct
0.0000 0.0000 0.0000
0.2485 0.2485 0.7395
0.7515 0.7515 0.2605
0.5000 0.5000 0.5000

---

TaSi3 PBE-GGA relaxed; ΔE_f (raw) = 4.0 kcal/mol of atoms; electronic total energy = -6.86 eV per atom
1.0
1.5164 0.8755 7.7151
-1.5164 0.8755 7.7151
0.0000 -1.7510 7.7151
Ta Si
1 3
Direct
0.0000 0.0000 0.0000
0.2451 0.2451 0.2451
0.5000 0.5000 0.5000
0.7549 0.7549 0.7549

---

Ta2Si3 PBE-GGA relaxed; ΔE_f (raw) = 0.2 kcal/mol of atoms; relative energy among the computed polymorphs = 0.217 eV/atom; electronic total energy = -7.99 eV per atom
1.0
4.4855 0.0000 0.0000
-2.2428 3.8846 0.0000
0.0000 0.0000 5.1920
Ta Si
2 3
Direct
0.3333 0.6667 0.3872
0.6667 0.3333 0.6128
0.0000 0.0000 0.5000
0.3333 0.6667 0.8879
0.6667 0.3333 0.1121

---

TaSi3 PBE-GGA relaxed; ΔE_f (raw) = -2.2 kcal/mol of atoms; electronic total energy = -7.13 eV per atom
1.0
3.3955 0.0000 0.0000
0.0000 3.3955 0.0000
0.0000 0.0000 5.1529
Ta Si
1 3
Direct
0.0000 0.0000 0.0000
0.0000 0.0000 0.5000
0.5000 0.5000 0.2580
0.5000 0.5000 0.7420

---

Ta4Si PBE-GGA relaxed; ΔE_f (raw) = 18.7 kcal/mol of atoms; relative energy among the computed polymorphs = 0.923 eV/atom; electronic total energy = -9.75 eV per atom
1.0
-1.8444 1.8444 7.1134
1.8444 -1.8444 7.1134
1.8444 1.8444 -7.1134
Ta Si
4 1
Direct
0.0899 0.0899 0.0000
0.2500 0.7500 0.5000
0.7500 0.2500 0.5000
0.9101 0.9101 0.0000
0.5000 0.5000 0.0000

---

Ta3Si PBE-GGA relaxed; ΔE_f (raw) = 0.1 kcal/mol of atoms; electronic total energy = -10.24 eV per atom
1.0
2.9454 0.0000 0.0000
-1.4727 2.5508 0.0000
0.0000 0.0000 9.2558
Ta Si
3 1
Direct
0.0000 0.0000 0.0000
0.6667 0.3333 0.2724
0.6667 0.3333 0.7276
0.0000 0.0000 0.5000

---

Ta2Si PBE-GGA relaxed; ΔE_f (raw) = -6.8 kcal/mol of atoms; electronic total energy = -10.00 eV per atom
1.0
1.7267 -6.4536 0.0000
1.7267 6.4536 0.0000
0.0000 0.0000 4.4526
Ta Si
4 2
Direct
0.0666 0.9334 0.7500
0.2572 0.7428 0.2500
0.7428 0.2572 0.7500
0.9334 0.0666 0.2500
0.4025 0.5975 0.7500
0.5975 0.4025 0.2500

---

Q: What is the formula in the second record?
A: Ta4Si

---

Q: The highest ΔE_f (raw) belongs to which entry?
A: number 8

---

Copy entry 7 word for word.
TaSi3 PBE-GGA relaxed; ΔE_f (raw) = -2.2 kcal/mol of atoms; electronic total energy = -7.13 eV per atom
1.0
3.3955 0.0000 0.0000
0.0000 3.3955 0.0000
0.0000 0.0000 5.1529
Ta Si
1 3
Direct
0.0000 0.0000 0.0000
0.0000 0.0000 0.5000
0.5000 0.5000 0.2580
0.5000 0.5000 0.7420

---

Q: What is the ΔE_f (raw) in the second record?
A: -1.2 kcal/mol of atoms